Computed, not measured: an optimized crystal structure of In4ReAu at the GGA-PBE level of DFT.

Cell and atoms, written as POSCAR:
```
In4ReAu
1.0
0.000 4.015 4.015
4.015 0.000 4.015
4.015 4.015 0.000
In Re Au
4 1 1
direct
0.125 0.125 0.125
0.125 0.125 0.625
0.125 0.625 0.125
0.625 0.125 0.125
0.750 0.750 0.750
0.500 0.500 0.500
```

Raw total energy ... -3.5225 eV per atom
ΔH_f (0 K) ... 924 meV/atom
Calculated volume ... 129.4 Å³ per cell